This record from the Alexandria database describes crystalline Ac2SmY at its relaxed geometry. The functional is PBE.

- uncorrected energy (eV/atom) = -4.808
- calculated volume (Å³/cell) = 154
- SG = No. 123

```
4
Lattice="3.889 0.000 0.000 0.000 3.889 0.000 0.000 0.000 10.182" Properties=species:S:1:pos:R:3 pbc="T T T"
Ac 0.000 0.000 2.522
Ac 0.000 0.000 7.660
Sm 1.944 1.944 5.091
Y 1.944 1.944 0.000
```